Record 1
Computed, not measured: a relaxed NaSiAg2Te4 crystal at the PBE level of DFT.

- DOS(E_F): 0.91 states/eV per atom
- DFT total energy: -3.34 eV per atom
- E_form (uncorrected): -0.2126 eV per atom

Cell and atoms, written as POSCAR:
```
NaSiAg2Te4
1.0
-2.0322 4.2534 -5.1936
-3.4845 -5.3069 -2.9817
-1.5790 1.8241 6.8473
Na Si Ag Te
1 1 2 4
Direct
0.0001 0.0001 0.0003 Na
0.5000 0.5000 0.0001 Si
0.7500 0.2500 0.5001 Ag
0.2500 0.7500 0.5001 Ag
0.5808 0.5808 0.7360 Te
0.4192 0.8448 0.2641 Te
0.8448 0.4192 0.2641 Te
0.1552 0.1552 0.7360 Te
```

***

Record 2
Computed, not measured: a relaxed Er2PuSnC crystal at the PBE level of DFT.

- DFT formation energy: -0.4951 eV/atom
- DOS(E_F): 1.64 states/eV per atom
- DFT total energy: -7.83 eV per atom

Cell and atoms, written as POSCAR:
```
Er2PuSnC
1.0
-1.0141 0.8516 -4.5976
1.5308 -4.4860 -1.1686
-4.5187 -1.7187 0.6784
Er Pu Sn C
2 1 1 1
Direct
0.0000 0.0000 0.5000 Er
0.0000 0.5000 0.0000 Er
0.5000 0.0000 0.0000 Pu
0.5000 0.5000 0.5000 Sn
0.0000 0.0000 0.0000 C
```

***

Record 3
Computed, not measured: a relaxed LiHoTmRe crystal at the PBE level of DFT.

- DFT formation energy: 0.0380 eV/atom
- DOS(E_F): 0.85 states/eV per atom
- DFT total energy: -5.81 eV per atom

Cell and atoms, written as POSCAR:
```
LiHoTmRe
1.0
4.8836 0.0000 0.0000
2.4418 4.2293 0.0000
2.4418 1.4098 3.9875
Re Tm Ho Li
1 1 1 1
Direct
0.5000 0.5000 0.5000 Re
0.2500 0.2500 0.2500 Tm
0.7500 0.7500 0.7500 Ho
0.0000 0.0000 0.0000 Li
```

***

Record 4
Computed, not measured: a relaxed SiS2N crystal at the PBE level of DFT.

- DOS(E_F): 0.66 states/eV per atom
- DFT total energy: -4.03 eV per atom
- Offset from the most stable computed form: 0.7739 eV per atom
- E_form (uncorrected): 1.4716 eV per atom

Cell and atoms, written as POSCAR:
```
SiS2N
1.0
0.0000 2.9237 2.9237
2.9237 0.0000 2.9237
2.9237 2.9237 0.0000
S Si N
2 1 1
Direct
0.2500 0.2500 0.2500 S
0.7500 0.7500 0.7500 S
0.5000 0.5000 0.5000 Si
0.0000 0.0000 0.0000 N
```